# PBE-GGA Pr6Sm2Dy3Ho, optimized geometry
data_Pr6Sm2Dy3Ho
_chemical_formula_sum 'Pr12 Sm4 Dy6 Ho2'
_cell_length_a 6.3271
_cell_length_b 10.9607
_cell_length_c 11.9597
_cell_angle_alpha 90.00
_cell_angle_beta 100.13
_cell_angle_gamma 90.00
_symmetry_space_group_name_H-M 'C 1 2/m 1'
_symmetry_Int_Tables_number 12
loop_
_symmetry_equiv_pos_as_xyz
'x,y,z'
'-x,-y,-z'
'-x,y,-z'
'x,-y,z'
'x+1/2,y+1/2,z'
'-x+1/2,-y+1/2,-z'
'-x+1/2,y+1/2,-z'
'x+1/2,-y+1/2,z'
loop_
_atom_site_label
_atom_site_type_symbol
_atom_site_fract_x
_atom_site_fract_y
_atom_site_fract_z
Pr1 Pr 0.2489 0.0000 0.2483
Pr2 Pr 0.2502 0.1663 0.7514
Sm1 Sm 0.0000 0.3333 0.5000
Dy1 Dy 0.0000 0.1666 0.0000
Dy2 Dy 0.0000 0.5000 0.0000
Ho1 Ho 0.0000 0.0000 0.5000
# energy relative to the elements = 0.012 eV per atom

---

# PBE-GGA YMn4, optimized geometry
data_YMn4
_chemical_formula_sum 'Y1 Mn4'
_cell_length_a 4.8606
_cell_length_b 4.8606
_cell_length_c 4.8606
_cell_angle_alpha 90.00
_cell_angle_beta 90.00
_cell_angle_gamma 90.00
_symmetry_space_group_name_H-M 'P m -3 m'
_symmetry_Int_Tables_number 221
_symmetry_space_group_name_Hall '-P 4 2 3'
loop_
_atom_site_label
_atom_site_type_symbol
_atom_site_fract_x
_atom_site_fract_y
_atom_site_fract_z
Y1 Y 0.0000 0.0000 0.0000
Mn1 Mn 0.0000 0.0000 0.5000
Mn2 Mn 0.5000 0.5000 0.5000
# energy relative to the elements = 1.781 eV per atom
# excess energy over the best structure of this formula in the dataset = 1728 meV/atom

---

# PBE-GGA AlAgAu5, optimized geometry
data_AlAgAu5
_chemical_formula_sum 'Al1 Ag1 Au5'
_cell_length_a 4.2121
_cell_length_b 4.2121
_cell_length_c 7.2545
_cell_angle_alpha 90.00
_cell_angle_beta 90.00
_cell_angle_gamma 90.00
_symmetry_space_group_name_H-M 'P 4/m m m'
_symmetry_Int_Tables_number 123
_symmetry_space_group_name_Hall '-P 4 2'
loop_
_atom_site_label
_atom_site_type_symbol
_atom_site_fract_x
_atom_site_fract_y
_atom_site_fract_z
Al1 Al 0.0000 0.0000 0.0000
Ag1 Ag 0.5000 0.5000 0.5000
Au1 Au 0.0000 0.0000 0.5000
Au2 Au 0.0000 0.5000 0.2121
# energy relative to the elements = -0.161 eV per atom
# excess energy over the best structure of this formula in the dataset = 0 meV/atom

---

# PBE-GGA NpAlRu, optimized geometry
data_NpAlRu
_chemical_formula_sum 'Np4 Al4 Ru4'
_cell_length_a 3.1072
_cell_length_b 14.2494
_cell_length_c 4.3708
_cell_angle_alpha 90.00
_cell_angle_beta 90.00
_cell_angle_gamma 90.00
_symmetry_space_group_name_H-M 'C m c m'
_symmetry_Int_Tables_number 63
_symmetry_space_group_name_Hall '-C 2c 2'
loop_
_atom_site_label
_atom_site_type_symbol
_atom_site_fract_x
_atom_site_fract_y
_atom_site_fract_z
Np1 Np 0.0000 0.2323 0.2500
Al1 Al 0.0000 0.0739 0.7500
Ru1 Ru 0.0000 0.4267 0.7500
# energy relative to the elements = -0.296 eV per atom

---

# PBE-GGA ScSiTe, optimized geometry
data_ScSiTe
_chemical_formula_sum 'Sc4 Si4 Te4'
_cell_length_a 6.6659
_cell_length_b 6.6659
_cell_length_c 6.6659
_cell_angle_alpha 90.00
_cell_angle_beta 90.00
_cell_angle_gamma 90.00
_symmetry_space_group_name_H-M 'F -4 3 m'
_symmetry_Int_Tables_number 216
_symmetry_space_group_name_Hall 'F -4 2 3'
loop_
_atom_site_label
_atom_site_type_symbol
_atom_site_fract_x
_atom_site_fract_y
_atom_site_fract_z
Sc1 Sc 0.0000 0.0000 0.0000
Si1 Si 0.2500 0.2500 0.7500
Te1 Te 0.0000 0.0000 0.5000
# uncorrected formation energy = 0.02 eV per atom

---

# PBE-GGA Ba5Li4Tl4, optimized geometry
data_Ba5Li4Tl4
_chemical_formula_sum 'Ba10 Li8 Tl8'
_cell_length_a 14.2833
_cell_length_b 14.2833
_cell_length_c 4.5449
_cell_angle_alpha 90.00
_cell_angle_beta 90.00
_cell_angle_gamma 90.00
_symmetry_space_group_name_H-M 'I 4/m'
_symmetry_Int_Tables_number 87
_symmetry_space_group_name_Hall '-I 4'
loop_
_atom_site_label
_atom_site_type_symbol
_atom_site_fract_x
_atom_site_fract_y
_atom_site_fract_z
Ba1 Ba 0.0000 0.0000 0.0000
Ba2 Ba 0.1304 0.2159 0.5000
Li1 Li 0.0672 0.5899 0.5000
Tl1 Tl 0.0553 0.7324 0.0000
# energy relative to the elements = -0.230 eV per atom

---

no.,M_tot (μB/f.u.),total energy (Ha/atom)
1,0.0,-0.173
2,14.5,-0.252
3,0.0,-0.127
4,1.7,-0.329
5,0.0,-0.182
6,0.0,-0.084